[1]
An optimized crystal structure of CdCo, computed with PBE.

Geometry as POSCAR:
```
CdCo
1.0
9.6694 0.0000 0.0000
0.0000 4.0993 0.0000
0.0000 0.0000 6.5493
Cd Co
8 8
Cartesian
0.7889 1.0248 0.7206
0.9609 3.0745 3.0374
3.8738 1.0248 6.3121
4.0458 3.0745 3.9953
5.6236 1.0248 2.5540
5.7957 3.0745 0.2372
8.7085 1.0248 3.5119
8.8805 3.0745 5.8287
1.8435 1.0248 4.5912
1.9912 3.0745 5.7572
2.8435 1.0248 2.4826
2.9912 3.0745 1.3166
6.6782 1.0248 5.2327
6.8259 3.0745 4.0667
7.6782 1.0248 0.7921
7.8260 3.0745 1.9580
```

Summary:
**Space group**: Pnma
**DFT formation energy**: 6.16 kcal/mol of atoms
**D(E_F)**: 9.24 states/eV per cell



[2]
An optimized crystal structure of MgFe2S, computed with PBE.

Geometry as POSCAR:
```
MgFe2S
1.0
0.0000 2.8443 2.8443
2.8443 0.0000 2.8443
2.8443 2.8443 0.0000
Mg Fe S
1 2 1
Cartesian
0.0000 0.0000 0.0000
1.4222 1.4222 1.4222
4.2665 4.2665 4.2665
2.8443 2.8443 2.8443
```

Summary:
**Energy relative to the elements, uncorrected**: 0.406 eV per atom
**Space group**: Fm-3m
**E above lowest polymorph**: 250 meV per atom
**D(E_F)**: 1.26 states/eV per cell



Question: Which of these has the lowest D(E_F)?
Answer: MgFe2S



Copy entry 1 word for word.
An optimized crystal structure of CdCo, computed with PBE.

Geometry as POSCAR:
```
CdCo
1.0
9.6694 0.0000 0.0000
0.0000 4.0993 0.0000
0.0000 0.0000 6.5493
Cd Co
8 8
Cartesian
0.7889 1.0248 0.7206
0.9609 3.0745 3.0374
3.8738 1.0248 6.3121
4.0458 3.0745 3.9953
5.6236 1.0248 2.5540
5.7957 3.0745 0.2372
8.7085 1.0248 3.5119
8.8805 3.0745 5.8287
1.8435 1.0248 4.5912
1.9912 3.0745 5.7572
2.8435 1.0248 2.4826
2.9912 3.0745 1.3166
6.6782 1.0248 5.2327
6.8259 3.0745 4.0667
7.6782 1.0248 0.7921
7.8260 3.0745 1.9580
```

Summary:
**Space group**: Pnma
**DFT formation energy**: 6.16 kcal/mol of atoms
**D(E_F)**: 9.24 states/eV per cell